Record 1
LiY2Co | PBEsol | optimized geometry

Unit cell a=3.455 b=4.777 c=4.777 alpha=90.00 beta=90.00 gamma=90.00
Sites, in units of the cell vectors:
Y1 0.000 0.500 0.000
Y2 0.000 0.000 0.500
Co1 0.500 0.500 0.500
Li1 0.500 0.000 0.000

Summary:
Space group: No. 123
Energy relative to the elements (eV/atom): 0.0213
Final energy (eV for the cell shown): -23.263
Calculated volume (Å³/atom): 19.7
Magnetic moment (Bohr magnetons per cell): 0.00

Record 2
LiZn3Co | PBEsol | optimized geometry

Unit cell a=4.493 b=4.493 c=4.493 alpha=90.00 beta=90.00 gamma=90.00
Sites, in units of the cell vectors:
Zn1 0.000 0.500 0.000
Zn2 0.000 0.000 0.500
Zn3 0.500 0.000 0.000
Li1 0.500 0.500 0.500
Co1 0.000 0.000 0.000

Summary:
Space group: No. 221
Energy relative to the elements (eV/atom): 0.2190
Final energy (eV for the cell shown): -13.355
Relative energy among the computed polymorphs (meV/atom): 0
Calculated volume (Å³/atom): 18.1
Magnetic moment (Bohr magnetons per cell): 0.00

Record 3
LiZn2Co | PBEsol | optimized geometry

Unit cell a=2.992 b=2.992 c=5.423 alpha=90.00 beta=90.00 gamma=90.00
Sites, in units of the cell vectors:
Zn1 0.000 0.000 0.988
Zn2 0.500 0.500 0.277
Li1 0.500 0.500 0.735
Co1 0.000 0.000 0.500

Summary:
Space group: No. 99
Energy relative to the elements (eV/atom): 0.0802
Final energy (eV for the cell shown): -12.547
Calculated volume (Å³/atom): 12.1
Magnetic moment (Bohr magnetons per cell): 0.00

Record 4
LiZn2Co | PBEsol | optimized geometry

Unit cell a=2.813 b=4.097 c=4.097 alpha=90.20 beta=90.00 gamma=90.00
Sites, in units of the cell vectors:
Li1 0.500 0.000 0.000
Zn1 0.000 0.500 0.000
Zn2 0.000 0.000 0.500
Co1 0.500 0.500 0.500

Summary:
Space group: No. 65
Energy relative to the elements (eV/atom): -0.1316
Final energy (eV for the cell shown): -13.394
Calculated volume (Å³/atom): 11.8
Magnetic moment (Bohr magnetons per cell): 0.00